{
  "formula": "NiTeN2F",
  "functional": "GGA+U",
  "state": "relaxed",
  "polymorph_energy_kj_per_mol_atoms": 144.5,
  "crystal_system": "tetragonal",
  "m_tot_mub_per_cell": 4.3,
  "dos_ef_per_ev_cell": 4.069,
  "total_energy_ev_per_atom": -2.66,
  "cell": [[-1.721, -0.150, -3.936], [-3.824, -0.966, 1.709], [-0.907, 4.018, 0.244]],
  "species": ["N", "F", "Te", "N", "Ni"],
  "fractional_positions": [[0.000, 0.500, 0.000], [0.000, 0.000, 0.000], [0.000, 0.000, 0.500], [0.500, 0.000, 0.000], [0.500, 0.500, 0.500]]
}